Below is crystalline Cd2AsO4F at its relaxed geometry, with properties calculated at the GGA-PBEsol level.

Values from the calculation:
Formation energy from raw total energies in eV per formula unit: -11.4
DOS(E_F) in states/eV per atom: 0.000
DFT total energy in eV/atom: -5.2331
Magnetization in μB per atom: 0.000
Symmetry: C2/c

Cell lengths 7.9507, 7.9507, 10.7974 Å; angles 117.35, 117.35, 51.30 degrees
Fractional positions:
Cd 0.1894 0.7073 0.5099
Cd 0.2421 0.4517 0.1519
Cd 0.2927 0.8106 0.9901
Cd 0.4517 0.2421 0.6519
Cd 0.5483 0.7579 0.3481
Cd 0.7073 0.1894 0.0099
Cd 0.7579 0.5483 0.8481
Cd 0.8106 0.2927 0.4901
As 0.0836 0.2711 0.3073
As 0.2711 0.0836 0.8073
As 0.7289 0.9164 0.1927
As 0.9164 0.7289 0.6927
O 0.0467 0.1165 0.1345
O 0.1041 0.2834 0.9236
O 0.1165 0.0467 0.6345
O 0.1432 0.4488 0.3146
O 0.1585 0.5805 0.6413
O 0.2834 0.1041 0.4236
O 0.4195 0.8415 0.8587
O 0.4488 0.1432 0.8146
O 0.5512 0.8568 0.1854
O 0.5805 0.1585 0.1413
O 0.7166 0.8959 0.5764
O 0.8415 0.4195 0.3587
O 0.8568 0.5512 0.6854
O 0.8835 0.9533 0.3655
O 0.8959 0.7166 0.0764
O 0.9533 0.8835 0.8655
F 0.4052 0.5730 0.1113
F 0.4270 0.5948 0.3887
F 0.5730 0.4052 0.6113
F 0.5948 0.4270 0.8887